! MnAlNi2 | Alexandria via LeMat-Bulk | PBEsol | optimized geometry; values from VASP
! - Formation enthalpy at 0 K: -0.051 eV per atom
! - SG: No. 160
! - Volume: 11.3 Å³/atom
! - Density of states at the Fermi level: 3.609 states/eV per cell
! - Total DFT energy (no corrections): -6.593 eV per atom
! - Magnetization: 1.93 μB/f.u.
&SYSTEM
  ibrav = 0, nat = 4, ntyp = 3
/
ATOMIC_SPECIES
Ni 58.69 Ni.upf
Mn 54.94 Mn.upf
Al 26.98 Al.upf
ATOMIC_POSITIONS angstrom
Ni -3.922 2.027 -0.441
Ni -4.046 3.095 5.412
Mn -1.348 1.025 1.766
Al -2.698 2.069 3.642
CELL_PARAMETERS angstrom
-1.363 2.128 -0.417
-2.559 -0.104 -0.035
-1.473 2.103 7.674